(1)
# MgSnPdAu, optimized geometry, DFT GGA-PBE
data_MgSnPdAu
_chemical_formula_sum 'Mg4 Sn4 Pd4 Au4'
_cell_length_a 6.6532
_cell_length_b 6.6532
_cell_length_c 6.6532
_cell_angle_alpha 90.00
_cell_angle_beta 90.00
_cell_angle_gamma 90.00
_space_group_name_H-M_alt 'F -4 3 m'
_space_group_IT_number 216
_space_group_name_Hall 'F -4 2 3'
loop_
_atom_site_label
_atom_site_type_symbol
_atom_site_fract_x
_atom_site_fract_y
_atom_site_fract_z
_atom_site_occupancy
Mg1 Mg 0.0000 0.0000 0.0000 1
Sn1 Sn 0.0000 0.0000 0.5000 1
Pd1 Pd 0.2500 0.2500 0.7500 1
Au1 Au 0.2500 0.2500 0.2500 1
# Energy of formation from the pure elements ... -2.0 eV/f.u.
# Electronic total energy ... -4.0070 eV/atom

=====

(2)
# Na2Np2As2P, optimized geometry, DFT GGA-PBE
data_Na2Np2As2P
_chemical_formula_sum 'Na4 Np4 As4 P2'
_cell_length_a 5.1838
_cell_length_b 5.1838
_cell_length_c 14.9802
_cell_angle_alpha 90.00
_cell_angle_beta 90.00
_cell_angle_gamma 90.00
_space_group_name_H-M_alt 'I 4/m m m'
_space_group_IT_number 139
_space_group_name_Hall '-I 4 2'
loop_
_atom_site_label
_atom_site_type_symbol
_atom_site_fract_x
_atom_site_fract_y
_atom_site_fract_z
_atom_site_occupancy
Na1 Na 0.0000 0.0000 0.1946 1
Np1 Np 0.0000 0.5000 0.0000 1
As1 As 0.0000 0.0000 0.3893 1
P1 P 0.0000 0.0000 0.0000 1
# Energy of formation from the pure elements ... -2.5 eV/f.u.
# Electronic total energy ... -6.5265 eV/atom

=====

(3)
# NaLi6Sn3, optimized geometry, DFT GGA-PBE
data_NaLi6Sn3
_chemical_formula_sum 'Na4 Li24 Sn12'
_cell_length_a 10.5870
_cell_length_b 15.2712
_cell_length_c 5.3054
_cell_angle_alpha 90.00
_cell_angle_beta 90.00
_cell_angle_gamma 90.00
_space_group_name_H-M_alt 'C m c 21'
_space_group_IT_number 36
_space_group_name_Hall 'C 2c -2'
loop_
_atom_site_label
_atom_site_type_symbol
_atom_site_fract_x
_atom_site_fract_y
_atom_site_fract_z
_atom_site_occupancy
Na1 Na 0.0000 0.1691 0.0000 1
Li1 Li 0.0000 0.2272 0.4916 1
Li2 Li 0.0000 0.4444 0.0379 1
Li3 Li 0.2275 0.0015 0.7779 1
Li4 Li 0.2496 0.1825 0.5387 1
Sn1 Sn 0.0000 0.0518 0.5168 1
Sn2 Sn 0.1400 0.3686 0.5415 1
# Energy of formation from the pure elements ... -2.6 eV/f.u.
# Electronic total energy ... -2.7406 eV/atom

=====

(4)
# YAlAgAu, optimized geometry, DFT GGA-PBE
data_YAlAgAu
_chemical_formula_sum 'Y4 Al4 Ag4 Au4'
_cell_length_a 6.8323
_cell_length_b 6.8323
_cell_length_c 6.8323
_cell_angle_alpha 90.00
_cell_angle_beta 90.00
_cell_angle_gamma 90.00
_space_group_name_H-M_alt 'F -4 3 m'
_space_group_IT_number 216
_space_group_name_Hall 'F -4 2 3'
loop_
_atom_site_label
_atom_site_type_symbol
_atom_site_fract_x
_atom_site_fract_y
_atom_site_fract_z
_atom_site_occupancy
Y1 Y 0.0000 0.0000 0.0000 1
Al1 Al 0.0000 0.0000 0.5000 1
Ag1 Ag 0.2500 0.2500 0.2500 1
Au1 Au 0.2500 0.2500 0.7500 1
# Energy of formation from the pure elements ... -2.1 eV/f.u.
# Electronic total energy ... -4.6195 eV/atom

=====

(5)
# MgVCu, optimized geometry, DFT GGA-PBE
data_MgVCu
_chemical_formula_sum 'Mg4 V4 Cu4'
_cell_length_a 6.1532
_cell_length_b 6.1532
_cell_length_c 6.1532
_cell_angle_alpha 90.00
_cell_angle_beta 90.00
_cell_angle_gamma 90.00
_space_group_name_H-M_alt 'F -4 3 m'
_space_group_IT_number 216
_space_group_name_Hall 'F -4 2 3'
loop_
_atom_site_label
_atom_site_type_symbol
_atom_site_fract_x
_atom_site_fract_y
_atom_site_fract_z
_atom_site_occupancy
Mg1 Mg 0.0000 0.0000 0.0000 1
V1 V 0.2500 0.2500 0.7500 1
Cu1 Cu 0.2500 0.2500 0.2500 1
# Offset from the most stable computed form ... 0.858 eV/atom
# Energy of formation from the pure elements ... 2.9 eV/f.u.
# Electronic total energy ... -3.9675 eV/atom

=====

(6)
# Sr11Tl9Hg4, optimized geometry, DFT GGA-PBE
data_Sr11Tl9Hg4
_chemical_formula_sum 'Sr22 Tl18 Hg8'
_cell_length_a 16.1655
_cell_length_b 24.2271
_cell_length_c 4.1259
_cell_angle_alpha 90.00
_cell_angle_beta 90.00
_cell_angle_gamma 90.00
_space_group_name_H-M_alt 'C m m m'
_space_group_IT_number 65
_space_group_name_Hall '-C 2 2'
loop_
_atom_site_label
_atom_site_type_symbol
_atom_site_fract_x
_atom_site_fract_y
_atom_site_fract_z
_atom_site_occupancy
Sr1 Sr 0.0000 0.0000 0.0000 1
Sr2 Sr 0.0000 0.1661 0.0000 1
Sr3 Sr 0.0000 0.3543 0.0000 1
Sr4 Sr 0.2316 0.5000 0.0000 1
Sr5 Sr 0.2439 0.1702 0.0000 1
Tl1 Tl 0.0000 0.5000 0.5000 1
Tl2 Tl 0.1094 0.2585 0.5000 1
Tl3 Tl 0.1285 0.0778 0.5000 1
Hg1 Hg 0.1435 0.4077 0.5000 1
# Energy of formation from the pure elements ... -10.4 eV/f.u.
# Electronic total energy ... -2.1398 eV/atom

=====

(7)
# In2AgAu4, optimized geometry, DFT GGA-PBE
data_In2AgAu4
_chemical_formula_sum 'In4 Ag2 Au8'
_cell_length_a 3.8981
_cell_length_b 3.8981
_cell_length_c 19.7129
_cell_angle_alpha 90.00
_cell_angle_beta 90.00
_cell_angle_gamma 90.00
_space_group_name_H-M_alt 'I 4/m m m'
_space_group_IT_number 139
_space_group_name_Hall '-I 4 2'
loop_
_atom_site_label
_atom_site_type_symbol
_atom_site_fract_x
_atom_site_fract_y
_atom_site_fract_z
_atom_site_occupancy
In1 In 0.0000 0.0000 0.0879 1
Ag1 Ag 0.0000 0.0000 0.5000 1
Au1 Au 0.0000 0.0000 0.3606 1
Au2 Au 0.0000 0.5000 0.2500 1
# Offset from the most stable computed form ... 0.052 eV/atom
# Energy of formation from the pure elements ... -0.1 eV/f.u.
# Electronic total energy ... -3.0826 eV/atom

=====

(8)
# La2SmZn3, optimized geometry, DFT GGA-PBE
data_La2SmZn3
_chemical_formula_sum 'La2 Sm1 Zn3'
_cell_length_a 3.7207
_cell_length_b 3.7207
_cell_length_c 11.1810
_cell_angle_alpha 90.00
_cell_angle_beta 90.00
_cell_angle_gamma 90.00
_space_group_name_H-M_alt 'P 4/m m m'
_space_group_IT_number 123
_space_group_name_Hall '-P 4 2'
loop_
_atom_site_label
_atom_site_type_symbol
_atom_site_fract_x
_atom_site_fract_y
_atom_site_fract_z
_atom_site_occupancy
La1 La 0.0000 0.0000 0.1708 1
Sm1 Sm 0.0000 0.0000 0.5000 1
Zn1 Zn 0.5000 0.5000 0.0000 1
Zn2 Zn 0.5000 0.5000 0.3446 1
# Offset from the most stable computed form ... 0.002 eV/atom
# Energy of formation from the pure elements ... -1.9 eV/f.u.
# Electronic total energy ... -3.3747 eV/atom

=====

(9)
# PmSm2Tm, optimized geometry, DFT GGA-PBE
data_PmSm2Tm
_chemical_formula_sum 'Pm1 Sm2 Tm1'
_cell_length_a 3.5969
_cell_length_b 3.5969
_cell_length_c 10.1866
_cell_angle_alpha 90.00
_cell_angle_beta 90.00
_cell_angle_gamma 90.00
_space_group_name_H-M_alt 'P 4/m m m'
_space_group_IT_number 123
_space_group_name_Hall '-P 4 2'
loop_
_atom_site_label
_atom_site_type_symbol
_atom_site_fract_x
_atom_site_fract_y
_atom_site_fract_z
_atom_site_occupancy
Pm1 Pm 0.0000 0.0000 0.0000 1
Sm1 Sm 0.5000 0.5000 0.2552 1
Tm1 Tm 0.0000 0.0000 0.5000 1
# Offset from the most stable computed form ... 0.003 eV/atom
# Energy of formation from the pure elements ... 0.1 eV/f.u.
# Electronic total energy ... -4.6445 eV/atom

=====

(10)
# Zr2GaCu, optimized geometry, DFT GGA-PBE
data_Zr2GaCu
_chemical_formula_sum 'Zr4 Ga2 Cu2'
_cell_length_a 4.0963
_cell_length_b 3.4394
_cell_length_c 10.5972
_cell_angle_alpha 90.00
_cell_angle_beta 90.00
_cell_angle_gamma 90.00
_space_group_name_H-M_alt 'A m m 2'
_space_group_IT_number 38
_space_group_name_Hall 'A 2 -2'
loop_
_atom_site_label
_atom_site_type_symbol
_atom_site_fract_x
_atom_site_fract_y
_atom_site_fract_z
_atom_site_occupancy
Zr1 Zr 0.0000 0.0000 0.0000 1
Zr2 Zr 0.5000 0.0000 0.3148 1
Ga1 Ga 0.5000 0.0000 0.5865 1
Cu1 Cu 0.0000 0.0000 0.7284 1
# Energy of formation from the pure elements ... -1.4 eV/f.u.
# Electronic total energy ... -6.4021 eV/atom

=====

(11)
# LiNd2As4Rh3, optimized geometry, DFT GGA-PBE
data_LiNd2As4Rh3
_chemical_formula_sum 'Li1 Nd2 As4 Rh3'
_cell_length_a 4.3205
_cell_length_b 4.3205
_cell_length_c 10.0477
_cell_angle_alpha 90.00
_cell_angle_beta 90.00
_cell_angle_gamma 90.00
_space_group_name_H-M_alt 'P -4 m 2'
_space_group_IT_number 115
_space_group_name_Hall 'P -4 -2'
loop_
_atom_site_label
_atom_site_type_symbol
_atom_site_fract_x
_atom_site_fract_y
_atom_site_fract_z
_atom_site_occupancy
Li1 Li 0.0000 0.0000 0.0000 1
Nd1 Nd 0.0000 0.5000 0.7475 1
As1 As 0.0000 0.0000 0.5000 1
As2 As 0.0000 0.5000 0.1362 1
As3 As 0.5000 0.5000 0.5000 1
Rh1 Rh 0.0000 0.5000 0.3815 1
Rh2 Rh 0.5000 0.5000 0.0000 1
# Energy of formation from the pure elements ... -9.2 eV/f.u.
# Electronic total energy ... -6.1283 eV/atom

=====

(12)
# Li2Pr3Se2O4, optimized geometry, DFT GGA-PBE
data_Li2Pr3Se2O4
_chemical_formula_sum 'Li4 Pr6 Se4 O8'
_cell_length_a 3.9846
_cell_length_b 3.9846
_cell_length_c 21.9103
_cell_angle_alpha 90.00
_cell_angle_beta 90.00
_cell_angle_gamma 90.00
_space_group_name_H-M_alt 'I 4/m m m'
_space_group_IT_number 139
_space_group_name_Hall '-I 4 2'
loop_
_atom_site_label
_atom_site_type_symbol
_atom_site_fract_x
_atom_site_fract_y
_atom_site_fract_z
_atom_site_occupancy
Li1 Li 0.0000 0.0000 0.0796 1
Pr1 Pr 0.0000 0.0000 0.3530 1
Pr2 Pr 0.0000 0.0000 0.5000 1
Se1 Se 0.0000 0.0000 0.2045 1
O1 O 0.0000 0.5000 0.0733 1
# Electronic total energy ... -6.4209 eV/atom